(1)
5
Lattice="-2.627 -1.753 -1.454 1.884 -2.919 0.116 -1.930 -3.189 3.176" Properties=species:S:1:pos:R:3 comment="MoH2Ir2 PBE relaxed" dos_ef_per_ev_atom=0.209 polymorph_energy_ev_per_atom=0.020 pbc="T T T"
Mo 0.000 0.000 0.000
Ir -1.799 -5.250 1.268
H -2.464 -3.639 0.527
H -0.209 -4.222 1.312
Ir -0.874 -2.611 0.570



(2)
5
Lattice="4.666 0.000 0.000 0.000 4.666 0.000 0.000 0.000 4.666" Properties=species:S:1:pos:R:3 comment="Zn3ReRu PBE relaxed" ef_ev_per_atom=1.44 dos_ef_per_ev_atom=0.601 polymorph_energy_ev_per_atom=0.000 pbc="T T T"
Ru 0.000 0.000 0.000
Zn 0.000 2.333 0.000
Re 2.333 2.333 2.333
Zn 2.333 0.000 0.000
Zn 0.000 0.000 2.333



(3)
12
Lattice="7.854 0.000 0.003 -3.925 6.803 0.003 -1.308 -2.264 8.007" Properties=species:S:1:pos:R:3 comment="CaSm2Tl3Te6 PBE relaxed" formation_energy_uncorrected_ev_per_atom=-0.998 dos_ef_per_ev_atom=0.510 pbc="T T T"
Te 2.601 4.504 1.766
Sm 3.929 2.267 0.003
Te 2.656 0.000 1.778
Te 0.020 0.034 6.245
Te -0.035 4.538 6.233
Sm 0.000 4.536 0.003
Tl -2.617 4.538 4.006
Tl 1.311 2.269 4.006
Ca 0.000 0.000 0.000
Te -1.327 2.301 1.778
Tl 5.238 0.001 4.006
Te 3.948 2.237 6.233



(4)
4
Lattice="3.875 0.000 0.000 0.000 4.259 0.000 0.000 0.000 4.251" Properties=species:S:1:pos:R:3 comment="Ta2SiHg PBE relaxed" formation_energy_uncorrected_ev_per_atom=0.259 dos_ef_per_ev_atom=0.398 pbc="T T T"
Hg 1.937 0.000 2.126
Si 0.000 2.130 2.126
Ta 1.937 2.130 0.000
Ta 0.000 0.000 0.000



(5)
12
Lattice="-4.843 1.614 -3.212 -7.955 -1.749 5.453 -4.008 6.697 3.745" Properties=species:S:1:pos:R:3 comment="PmNd7Dy4 PBE relaxed" ef_ev_per_atom=0.20 dos_ef_per_ev_atom=1.655 polymorph_energy_ev_per_atom=0.197 pbc="T T T"
Nd -5.913 1.039 3.774
Dy -8.319 0.299 1.367
Nd -3.792 3.194 1.660
Nd -6.447 2.111 -0.544
Pm 0.000 0.000 0.000
Nd -10.360 4.450 6.530
Dy -7.396 4.111 1.891
Nd -2.422 0.807 -1.606
Nd -13.015 3.368 4.327
Dy -8.488 6.262 4.619
Dy -9.411 2.451 4.095
Nd -10.894 5.522 2.212



(6)
6
Lattice="-0.933 -1.897 4.292 -0.738 -4.262 -2.044 7.527 -1.722 0.875" Properties=species:S:1:pos:R:3 comment="CaNdZn PBE relaxed" ef_ev_per_atom=-0.06 dos_ef_per_ev_atom=1.700 polymorph_energy_ev_per_atom=0.114 pbc="T T T"
Ca -0.835 -3.079 1.124
Zn 1.407 -1.377 2.364
Nd 2.498 -2.787 -0.689
Ca 0.000 0.000 0.000
Nd 4.193 -2.015 2.687
Zn 5.284 -3.425 -0.365



(7)
11
Lattice="3.390 0.000 0.000 0.000 8.626 0.000 -1.695 -4.313 11.233" Properties=species:S:1:pos:R:3 comment="Dy5Er2Sc4 PBE relaxed" ef_ev_per_atom=0.17 dos_ef_per_ev_atom=1.680 polymorph_energy_ev_per_atom=0.069 pbc="T T T"
Sc 0.000 5.852 0.000
Dy 0.000 6.891 3.169
Er 1.695 4.313 5.174
Dy 1.695 0.000 0.000
Sc 1.695 4.313 2.118
Er 0.000 0.000 6.060
Dy 1.695 2.578 8.065
Sc 0.000 2.774 0.000
Dy 0.000 1.735 3.169
Dy 1.695 -2.578 8.065
Sc 0.000 0.000 9.115



(8)
12
Lattice="5.121 -0.649 0.542 1.786 4.843 0.542 1.268 0.770 7.047" Properties=species:S:1:pos:R:3 comment="KOs2PtO8 PBE relaxed" formation_energy_uncorrected_ev_per_atom=-0.907 dos_ef_per_ev_atom=0.345 pbc="T T T"
Os 4.109 2.495 2.430
O 3.072 1.865 4.283
Pt 0.000 0.000 0.000
O 2.972 1.805 7.049
O 5.203 3.159 1.081
O 5.578 1.581 6.069
O 5.103 3.098 3.847
O 2.597 3.383 2.061
O 4.200 0.744 2.061
Os 4.066 2.469 5.700
O 3.975 4.220 6.069
K 0.634 0.385 3.523



(9)
4
Lattice="1.858 0.000 7.469 -0.929 1.609 7.469 -0.929 -1.609 7.469" Properties=species:S:1:pos:R:3 comment="MnAlS2 PBE relaxed" formation_energy_uncorrected_ev_per_atom=-0.391 dos_ef_per_ev_atom=0.255 pbc="T T T"
S 0.000 0.000 20.012
S 0.000 0.000 2.394
Al 0.000 0.000 0.000
Mn 0.000 0.000 11.203



(10)
12
Lattice="5.536 0.105 -0.037 -2.676 4.847 -0.037 -0.987 -1.710 5.188" Properties=species:S:1:pos:R:3 comment="Na3PtRh2O6 PBE relaxed" formation_energy_uncorrected_ev_per_atom=-0.985 dos_ef_per_ev_atom=0.006 pbc="T T T"
Rh 0.065 3.264 -0.037
Na -1.815 3.210 2.557
Rh 2.795 1.688 -0.037
O 0.052 0.089 4.064
O 1.821 3.153 1.049
Na 0.936 1.621 2.557
O 2.729 1.605 4.138
O 1.846 0.076 0.976
Na 3.687 0.032 2.557
Pt 0.000 0.000 0.000
O 0.026 3.166 4.138
O -0.857 1.637 0.976